1.
4
Lattice="3.344 0.000 0.000 0.000 5.690 0.000 -1.672 -2.845 5.761" Properties=species:S:1:pos:R:3 comment="BaMg2As | Alexandria via LeMat-Bulk | GGA-PBEsol | relaxed" mass_density_kg_m3=3951 delta_e_f_ev_per_atom=-0.3404 pbc="T T T"
Ba 0.000 2.845 0.000
Mg 1.672 2.845 3.437
As 1.672 0.000 0.000
Mg 0.000 0.000 2.324

2.
3
Lattice="-0.317 1.359 -2.577 -2.613 -1.280 -0.354 -1.237 4.696 4.295" Properties=species:S:1:pos:R:3 comment="CoHgSe | Alexandria via LeMat-Bulk | GGA-PBEsol | relaxed" raw_formation_energy_ev_per_atom=0.07 mass_density_kg_m3=10652 de_polymorph_ev_per_atom=0.000 pbc="T T T"
Co -4.029 4.534 1.219
Hg -2.237 1.394 -0.657
Se -2.067 3.623 2.164

3.
4
Lattice="3.168 0.000 0.000 1.584 2.743 0.000 1.584 0.914 9.117" Properties=species:S:1:pos:R:3 comment="ZrSc2Cr | Alexandria via LeMat-Bulk | GGA-PBEsol | relaxed" mass_density_kg_m3=4886 de_polymorph_ev_per_atom=0.080 delta_e_f_ev_per_atom=0.3424 pbc="T T T"
Cr 1.584 0.914 2.364
Sc 4.752 2.743 0.397
Sc 4.752 2.743 6.746
Zr 3.168 1.829 4.169

4.
4
Lattice="-0.723 1.025 3.613 0.526 -2.507 2.840 5.655 1.396 2.760" Properties=species:S:1:pos:R:3 comment="LiErS2 | Alexandria via LeMat-Bulk | GGA-PBEsol | relaxed" raw_formation_energy_ev_per_atom=-1.90 mass_density_kg_m3=5159 pbc="T T T"
S 1.371 -0.020 2.304
S 4.086 -0.067 6.910
Er 0.000 0.000 0.000
Li 2.729 -0.043 4.607